The following is a PBE-GGA calculation of a relaxed structure of ScTeHPd2, from Alexandria via LeMat-Bulk.

extended XYZ file:
```
5
Lattice="-3.493 0.056 2.015 1.518 -3.675 2.734 1.566 2.613 2.642" Properties=species:S:1:pos:R:3 pbc="T T T"
Sc -0.204 -0.503 3.696
H 0.000 0.000 0.000
Te 0.759 -1.837 1.367
Pd 0.783 1.307 1.321
Pd -1.746 0.028 1.008
```

Properties
excess energy over the best structure of this formula in the dataset = 0.219 eV per atom
N(E_F) = 1.72 states/eV/f.u.

---

The following is a PBE-GGA calculation of a relaxed structure of Sc2TiHPd, from Alexandria via LeMat-Bulk.

extended XYZ file:
```
5
Lattice="-2.982 -3.485 0.201 0.596 -0.248 4.545 -2.771 2.400 0.494" Properties=species:S:1:pos:R:3 pbc="T T T"
Sc 0.298 -0.124 2.272
Sc -1.491 -1.742 0.100
H 0.000 0.000 0.000
Pd -2.578 -0.666 2.620
Ti -1.386 1.200 0.247
```

Properties
VASP energy = -6.220 eV/atom
N(E_F) = 4.48 states/eV/f.u.

---

The following is a PBE-GGA calculation of a relaxed structure of ScTi2HPd, from Alexandria via LeMat-Bulk.

extended XYZ file:
```
5
Lattice="-1.652 3.540 -0.686 -2.789 -1.733 -2.225 -2.636 -0.513 3.702" Properties=species:S:1:pos:R:3 pbc="T T T"
Sc -1.318 -0.256 1.851
H 0.000 0.000 0.000
Pd -3.538 0.647 0.396
Ti -1.394 -0.866 -1.113
Ti -0.826 1.770 -0.343
```

Properties
VASP energy = -6.480 eV/atom
N(E_F) = 6.85 states/eV/f.u.

---

The following is a PBE-GGA calculation of a relaxed structure of Sc2VHPd, from Alexandria via LeMat-Bulk.

extended XYZ file:
```
5
Lattice="4.611 0.000 0.000 0.000 4.611 0.000 0.000 0.000 3.528" Properties=species:S:1:pos:R:3 pbc="T T T"
Sc 0.000 2.305 0.000
Sc 2.305 0.000 0.000
H 0.000 0.000 0.000
Pd 2.305 2.305 1.764
V 0.000 0.000 1.764
```

Properties
VASP energy = -6.442 eV/atom
N(E_F) = 2.72 states/eV/f.u.

---

The following is a PBE-GGA calculation of a relaxed structure of Sc2ZnHPd, from Alexandria via LeMat-Bulk.

extended XYZ file:
```
5
Lattice="-0.615 -4.239 -1.378 2.120 -1.501 3.674 -3.224 -0.121 1.811" Properties=species:S:1:pos:R:3 pbc="T T T"
Sc 1.060 -0.751 1.837
Sc -0.307 -2.120 -0.689
H 0.000 0.000 0.000
Zn -1.612 -0.060 0.905
Pd -0.859 -2.931 2.054
```

Properties
excess energy over the best structure of this formula in the dataset = 0.039 eV per atom
N(E_F) = 2.83 states/eV/f.u.

---

The following is a PBE-GGA calculation of a relaxed structure of Sc2ZnHPd, from Alexandria via LeMat-Bulk.

extended XYZ file:
```
5
Lattice="4.635 0.000 0.000 0.000 4.635 0.000 0.000 0.000 3.583" Properties=species:S:1:pos:R:3 pbc="T T T"
Sc 0.000 2.318 0.000
Sc 2.318 0.000 0.000
H 0.000 0.000 0.000
Zn 2.318 2.318 1.791
Pd 0.000 0.000 1.791
```

Properties
excess energy over the best structure of this formula in the dataset = 0.000 eV per atom
N(E_F) = 2.71 states/eV/f.u.